[1]
# InGaAs2 GGA-PBEsol optimized geometry
# **ΔH_f (0 K)**: -5.36 kcal/mol of atoms
# **Excess energy over the best structure of this formula in the dataset**: 22.5 meV/atom
data_InGaAs2
_cell_length_a 4.1516
_cell_length_b 4.1516
_cell_length_c 20.4121
_cell_angle_alpha 90.00
_cell_angle_beta 90.00
_cell_angle_gamma 120.00
_space_group_name_H-M_alt 'R 3 m'
_space_group_IT_number 160
_space_group_name_Hall 'R 3 -2"'
loop_
_atom_site_label
_atom_site_type_symbol
_atom_site_fract_x
_atom_site_fract_y
_atom_site_fract_z
_atom_site_occupancy
In1 In 0.0000 0.0000 0.0000 1
Ga1 Ga 0.0000 0.0000 0.5008 1
As1 As 0.0000 0.0000 0.3810 1
As2 As 0.0000 0.0000 0.8711 1

---

[2]
# Cu2SbAs GGA-PBEsol optimized geometry
# **E_form (uncorrected)**: 0.115 eV per atom
# **Excess energy over the best structure of this formula in the dataset**: 0.0 meV/atom
data_Cu2SbAs
_cell_length_a 3.0945
_cell_length_b 3.0945
_cell_length_c 7.2744
_cell_angle_alpha 90.00
_cell_angle_beta 90.00
_cell_angle_gamma 90.00
_space_group_name_H-M_alt 'P 4 m m'
_space_group_IT_number 99
loop_
_space_group_symop_operation_xyz
'x,y,z'
'-y,x,z'
'-x,-y,z'
'y,-x,z'
'-x,y,z'
'y,x,z'
'x,-y,z'
'-y,-x,z'
loop_
_atom_site_label
_atom_site_type_symbol
_atom_site_fract_x
_atom_site_fract_y
_atom_site_fract_z
_atom_site_occupancy
Cu1 Cu 0.0000 0.0000 0.0000 1
Cu2 Cu 0.5000 0.5000 0.1740 1
Sb1 Sb 0.0000 0.0000 0.4122 1
As1 As 0.5000 0.5000 0.8216 1

---

[3]
# Hf2TaPdRu GGA-PBEsol optimized geometry
# **ΔH_f (0 K)**: 21.48 kcal/mol of atoms
data_Hf2TaPdRu
_cell_length_a 4.7079
_cell_length_b 4.7079
_cell_length_c 4.8016
_cell_angle_alpha 90.00
_cell_angle_beta 90.00
_cell_angle_gamma 90.00
_space_group_name_H-M_alt 'P 4/m m m'
_space_group_IT_number 123
_space_group_name_Hall '-P 4 2'
loop_
_atom_site_label
_atom_site_type_symbol
_atom_site_fract_x
_atom_site_fract_y
_atom_site_fract_z
_atom_site_occupancy
Hf1 Hf 0.0000 0.5000 0.0000 1
Ta1 Ta 0.0000 0.0000 0.5000 1
Pd1 Pd 0.5000 0.5000 0.5000 1
Ru1 Ru 0.5000 0.5000 0.0000 1

---

Asked for DOS at the Fermi energy across the records above, the calculation gives 0.114; 1.103; 7.206 states/eV/f.u. in order.